[1]
A plane-wave DFT calculation with GGA-PBE was carried out for a geometry-optimized CrInSe2I structure. Values from VASP.

Geometry as Quantum ESPRESSO input:
```
&SYSTEM
  ibrav = 0, nat = 5, ntyp = 4
/
ATOMIC_SPECIES
Se 78.96 Se.upf
I 126.90 I.upf
In 114.82 In.upf
Cr 52.00 Cr.upf
ATOMIC_POSITIONS crystal
Se 0.000 0.000 0.500
I 0.000 0.000 0.000
In 0.000 0.500 0.000
Se 0.500 0.000 0.000
Cr 0.500 0.500 0.500
CELL_PARAMETERS angstrom
5.551 0.000 0.000
0.000 5.959 0.000
0.000 0.000 5.551
```

Output
Total DFT energy (no corrections) ... -3.22 eV/atom
SG ... P4/mmm

[2]
A plane-wave DFT calculation with GGA-PBE was carried out for a geometry-optimized Tl2CrInI6 structure. Values from VASP.

Geometry as Quantum ESPRESSO input:
```
&SYSTEM
  ibrav = 0, nat = 10, ntyp = 4
/
ATOMIC_SPECIES
I 126.90 I.upf
In 114.82 In.upf
Tl 204.38 Tl.upf
Cr 52.00 Cr.upf
ATOMIC_POSITIONS crystal
I 0.547 0.186 0.253
In 0.819 0.819 0.542
Tl 0.536 0.536 0.392
I 0.112 0.457 0.790
Tl 0.025 0.025 0.925
Cr 0.325 0.325 0.026
I 0.641 0.111 0.790
I 0.186 0.013 0.253
I 0.013 0.548 0.253
I 0.457 0.641 0.790
CELL_PARAMETERS angstrom
-3.868 5.208 5.267
-7.513 -1.983 3.073
-0.767 -2.094 8.137
```

Output
Total DFT energy (no corrections) ... -3.12 eV/atom
SG ... R3

no.,volume (Å³/atom),magnetization (μB/f.u.),uncorrected formation energy (meV per atom)
1,36.71,4.92,956
2,41.85,3.00,-481